# HoZrCS (PBE, relaxed)
# E_form (uncorrected)   -1.257 eV/atom
# Space group   R3m, No. 160
# Calculated volume   68.1 Å³/cell
data_HoZrCS
_cell_length_a 6.675
_cell_length_b 6.675
_cell_length_c 6.675
_cell_angle_alpha 30.55
_cell_angle_beta 30.55
_cell_angle_gamma 30.55
_symmetry_space_group_name_H-M 'P 1'
_symmetry_Int_Tables_number 1
loop_
_symmetry_equiv_pos_as_xyz
'x,y,z'
loop_
_atom_site_label
_atom_site_fract_x
_atom_site_fract_y
_atom_site_fract_z
Ho1 0.000 0.000 0.000
Zr1 0.197 0.197 0.197
C1 0.590 0.590 0.590
S1 0.769 0.769 0.769


# Ta2IrPt (PBE, relaxed)
# Space group   P4/mmm, No. 123
# Formation enthalpy at 0 K   -643 meV per atom
# Calculated volume   65.0 Å³/cell
data_Ta2IrPt
_cell_length_a 4.023
_cell_length_b 4.023
_cell_length_c 4.014
_cell_angle_alpha 90.00
_cell_angle_beta 90.00
_cell_angle_gamma 90.00
_symmetry_space_group_name_H-M 'P 1'
_symmetry_Int_Tables_number 1
loop_
_symmetry_equiv_pos_as_xyz
'x,y,z'
loop_
_atom_site_label
_atom_site_fract_x
_atom_site_fract_y
_atom_site_fract_z
Ta1 0.000 0.500 0.000
Ta2 0.500 0.000 0.000
Ir1 0.000 0.000 0.500
Pt1 0.500 0.500 0.500


# ThAl3AgHg (PBE, relaxed)
# Space group   Cmcm, No. 63
# Formation enthalpy at 0 K   91 meV per atom
# Calculated volume   298.6 Å³/cell
data_ThAl3AgHg
_cell_length_a 8.971
_cell_length_b 8.971
_cell_length_c 5.977
_cell_angle_alpha 90.00
_cell_angle_beta 90.00
_cell_angle_gamma 141.63
_symmetry_space_group_name_H-M 'P 1'
_symmetry_Int_Tables_number 1
loop_
_symmetry_equiv_pos_as_xyz
'x,y,z'
loop_
_atom_site_label
_atom_site_fract_x
_atom_site_fract_y
_atom_site_fract_z
Th1 0.172 0.828 0.750
Th2 0.828 0.172 0.250
Al1 0.241 0.241 0.000
Al2 0.241 0.241 0.500
Al3 0.259 0.741 0.250
Al4 0.741 0.259 0.750
Al5 0.759 0.759 0.000
Al6 0.759 0.759 0.500
Ag1 0.410 0.590 0.250
Ag2 0.590 0.410 0.750
Hg1 0.107 0.893 0.250
Hg2 0.893 0.107 0.750


# CaSb3Rh3 (PBE, relaxed)
# E_form (uncorrected)   -0.458 eV/atom
# Space group   R-3, No. 148
# Excess energy over the best structure of this formula in the dataset   0 kJ/mol of formula units
# Calculated volume   327.1 Å³/cell
data_CaSb3Rh3
_cell_length_a 8.377
_cell_length_b 8.377
_cell_length_c 8.377
_cell_angle_alpha 50.96
_cell_angle_beta 50.96
_cell_angle_gamma 50.96
_symmetry_space_group_name_H-M 'P 1'
_symmetry_Int_Tables_number 1
loop_
_symmetry_equiv_pos_as_xyz
'x,y,z'
loop_
_atom_site_label
_atom_site_fract_x
_atom_site_fract_y
_atom_site_fract_z
Ca1 0.176 0.176 0.176
Ca2 0.824 0.824 0.824
Sb1 0.143 0.370 0.720
Sb2 0.280 0.857 0.630
Sb3 0.370 0.720 0.143
Sb4 0.630 0.280 0.857
Sb5 0.720 0.143 0.370
Sb6 0.857 0.630 0.280
Rh1 0.024 0.275 0.573
Rh2 0.275 0.573 0.024
Rh3 0.427 0.976 0.725
Rh4 0.573 0.024 0.275
Rh5 0.725 0.427 0.976
Rh6 0.976 0.725 0.427


# Al2SbH (PBE, relaxed)
# Space group   Fm-3m, No. 225
# Excess energy over the best structure of this formula in the dataset   101 kJ/mol of formula units
# Calculated volume   72.7 Å³/cell
data_Al2SbH
_cell_length_a 4.684
_cell_length_b 4.684
_cell_length_c 4.684
_cell_angle_alpha 60.00
_cell_angle_beta 60.00
_cell_angle_gamma 60.00
_symmetry_space_group_name_H-M 'P 1'
_symmetry_Int_Tables_number 1
loop_
_symmetry_equiv_pos_as_xyz
'x,y,z'
loop_
_atom_site_label
_atom_site_fract_x
_atom_site_fract_y
_atom_site_fract_z
Al1 0.250 0.250 0.250
Al2 0.750 0.750 0.750
Sb1 0.000 0.000 0.000
H1 0.500 0.500 0.500


# KFe4Pb (PBE, relaxed)
# Space group   F-43m, No. 216
# Formation enthalpy at 0 K   692 meV per atom
# Calculated volume   101.3 Å³/cell
data_KFe4Pb
_cell_length_a 5.232
_cell_length_b 5.232
_cell_length_c 5.232
_cell_angle_alpha 60.00
_cell_angle_beta 60.00
_cell_angle_gamma 60.00
_symmetry_space_group_name_H-M 'P 1'
_symmetry_Int_Tables_number 1
loop_
_symmetry_equiv_pos_as_xyz
'x,y,z'
loop_
_atom_site_label
_atom_site_fract_x
_atom_site_fract_y
_atom_site_fract_z
K1 0.000 0.000 0.000
Fe1 0.375 0.375 0.375
Fe2 0.375 0.375 0.876
Fe3 0.375 0.876 0.375
Fe4 0.876 0.375 0.375
Pb1 0.750 0.750 0.750


# CeTl3Sb2O9 (PBE, relaxed)
# E_form (uncorrected)   -1.463 eV/atom
# Space group   P-3m1, No. 164
# Calculated volume   221.6 Å³/cell
data_CeTl3Sb2O9
_cell_length_a 5.910
_cell_length_b 5.910
_cell_length_c 7.326
_cell_angle_alpha 90.00
_cell_angle_beta 90.00
_cell_angle_gamma 120.00
_symmetry_space_group_name_H-M 'P 1'
_symmetry_Int_Tables_number 1
loop_
_symmetry_equiv_pos_as_xyz
'x,y,z'
loop_
_atom_site_label
_atom_site_fract_x
_atom_site_fract_y
_atom_site_fract_z
Ce1 0.000 0.000 0.000
Tl1 0.000 0.000 0.500
Tl2 0.333 0.667 0.166
Tl3 0.667 0.333 0.834
Sb1 0.333 0.667 0.658
Sb2 0.667 0.333 0.342
O1 0.000 0.500 0.500
O2 0.173 0.347 0.813
O3 0.173 0.827 0.813
O4 0.347 0.173 0.187
O5 0.500 0.000 0.500
O6 0.500 0.500 0.500
O7 0.653 0.827 0.813
O8 0.827 0.173 0.187
O9 0.827 0.653 0.187


# Mn2BiI8 (PBE, relaxed)
# E_form (uncorrected)   -0.367 eV/atom
# Space group   C2/m, No. 12
# Calculated volume   556.5 Å³/cell
data_Mn2BiI8
_cell_length_a 8.855
_cell_length_b 8.855
_cell_length_c 7.253
_cell_angle_alpha 98.39
_cell_angle_beta 98.39
_cell_angle_gamma 89.85
_symmetry_space_group_name_H-M 'P 1'
_symmetry_Int_Tables_number 1
loop_
_symmetry_equiv_pos_as_xyz
'x,y,z'
loop_
_atom_site_label
_atom_site_fract_x
_atom_site_fract_y
_atom_site_fract_z
Mn1 0.211 0.211 0.165
Mn2 0.789 0.789 0.835
Bi1 0.000 0.000 0.500
I1 0.063 0.724 0.719
I2 0.221 0.221 0.802
I3 0.276 0.937 0.281
I4 0.421 0.421 0.287
I5 0.579 0.579 0.713
I6 0.724 0.063 0.719
I7 0.779 0.779 0.198
I8 0.937 0.276 0.281


# Ta2V2Rh (PBE, relaxed)
# Space group   P4/mbm, No. 127
# Formation enthalpy at 0 K   86 meV per atom
# Calculated volume   160.7 Å³/cell
data_Ta2V2Rh
_cell_length_a 6.354
_cell_length_b 6.354
_cell_length_c 3.980
_cell_angle_alpha 90.00
_cell_angle_beta 90.00
_cell_angle_gamma 90.00
_symmetry_space_group_name_H-M 'P 1'
_symmetry_Int_Tables_number 1
loop_
_symmetry_equiv_pos_as_xyz
'x,y,z'
loop_
_atom_site_label
_atom_site_fract_x
_atom_site_fract_y
_atom_site_fract_z
Ta1 0.173 0.327 0.000
Ta2 0.327 0.827 0.000
Ta3 0.673 0.173 0.000
Ta4 0.827 0.673 0.000
V1 0.131 0.631 0.500
V2 0.369 0.131 0.500
V3 0.631 0.869 0.500
V4 0.869 0.369 0.500
Rh1 0.000 0.000 0.500
Rh2 0.500 0.500 0.500


# MgAs2Ru (PBE, relaxed)
# Space group   P2/m, No. 10
# Formation enthalpy at 0 K   -72 meV per atom
# Calculated volume   70.8 Å³/cell
data_MgAs2Ru
_cell_length_a 3.341
_cell_length_b 4.177
_cell_length_c 5.093
_cell_angle_alpha 90.00
_cell_angle_beta 94.64
_cell_angle_gamma 90.00
_symmetry_space_group_name_H-M 'P 1'
_symmetry_Int_Tables_number 1
loop_
_symmetry_equiv_pos_as_xyz
'x,y,z'
loop_
_atom_site_label
_atom_site_fract_x
_atom_site_fract_y
_atom_site_fract_z
Mg1 0.000 0.000 0.000
As1 0.420 0.500 0.757
As2 0.580 0.500 0.243
Ru1 0.500 0.000 0.500


# Tb2PuTe (PBE, relaxed)
# E_form (uncorrected)   -0.407 eV/atom
# Space group   R3m, No. 160
# Excess energy over the best structure of this formula in the dataset   24 kJ/mol of formula units
# Calculated volume   125.2 Å³/cell
data_Tb2PuTe
_cell_length_a 10.080
_cell_length_b 10.080
_cell_length_c 10.080
_cell_angle_alpha 21.92
_cell_angle_beta 21.92
_cell_angle_gamma 21.92
_symmetry_space_group_name_H-M 'P 1'
_symmetry_Int_Tables_number 1
loop_
_symmetry_equiv_pos_as_xyz
'x,y,z'
loop_
_atom_site_label
_atom_site_fract_x
_atom_site_fract_y
_atom_site_fract_z
Tb1 0.000 0.000 0.000
Tb2 0.188 0.188 0.188
Pu1 0.427 0.427 0.427
Te1 0.594 0.594 0.594


# YNbF2 (PBE, relaxed)
# E_form (uncorrected)   -0.913 eV/atom
# Space group   Fm-3m, No. 225
# Excess energy over the best structure of this formula in the dataset   314 kJ/mol of formula units
# Calculated volume   62.5 Å³/cell
data_YNbF2
_cell_length_a 4.453
_cell_length_b 4.453
_cell_length_c 4.453
_cell_angle_alpha 60.00
_cell_angle_beta 60.00
_cell_angle_gamma 60.00
_symmetry_space_group_name_H-M 'P 1'
_symmetry_Int_Tables_number 1
loop_
_symmetry_equiv_pos_as_xyz
'x,y,z'
loop_
_atom_site_label
_atom_site_fract_x
_atom_site_fract_y
_atom_site_fract_z
Y1 0.000 0.000 0.000
Nb1 0.500 0.500 0.500
F1 0.250 0.250 0.250
F2 0.750 0.750 0.750


# Pr3Er2Tm2 (PBE, relaxed)
# Space group   C2/m, No. 12
# Formation enthalpy at 0 K   116 meV per atom
# Excess energy over the best structure of this formula in the dataset   49 kJ/mol of formula units
# Calculated volume   232.0 Å³/cell
data_Pr3Er2Tm2
_cell_length_a 8.966
_cell_length_b 8.966
_cell_length_c 8.535
_cell_angle_alpha 117.79
_cell_angle_beta 117.79
_cell_angle_gamma 22.60
_symmetry_space_group_name_H-M 'P 1'
_symmetry_Int_Tables_number 1
loop_
_symmetry_equiv_pos_as_xyz
'x,y,z'
loop_
_atom_site_label
_atom_site_fract_x
_atom_site_fract_y
_atom_site_fract_z
Pr1 0.000 0.000 0.000
Pr2 0.214 0.214 0.297
Pr3 0.786 0.786 0.703
Er1 0.141 0.141 0.818
Er2 0.859 0.859 0.182
Tm1 0.436 0.436 0.590
Tm2 0.564 0.564 0.410


# NaPa3Te6 (PBE, relaxed)
# E_form (uncorrected)   -0.779 eV/atom
# Space group   P2_1/m, No. 11
# Excess energy over the best structure of this formula in the dataset   5 kJ/mol of formula units
# Calculated volume   738.8 Å³/cell
data_NaPa3Te6
_cell_length_a 12.501
_cell_length_b 4.300
_cell_length_c 14.636
_cell_angle_alpha 90.00
_cell_angle_beta 110.12
_cell_angle_gamma 90.00
_symmetry_space_group_name_H-M 'P 1'
_symmetry_Int_Tables_number 1
loop_
_symmetry_equiv_pos_as_xyz
'x,y,z'
loop_
_atom_site_label
_atom_site_fract_x
_atom_site_fract_y
_atom_site_fract_z
Na1 0.175 0.250 0.004
Na2 0.825 0.750 0.996
Pa1 0.157 0.750 0.526
Pa2 0.210 0.250 0.286
Pa3 0.472 0.250 0.878
Pa4 0.528 0.750 0.122
Pa5 0.790 0.750 0.714
Pa6 0.843 0.250 0.474
Te1 0.021 0.250 0.373
Te2 0.086 0.750 0.139
Te3 0.286 0.250 0.670
Te4 0.323 0.750 0.928
Te5 0.340 0.750 0.431
Te6 0.406 0.250 0.203
Te7 0.594 0.750 0.797
Te8 0.660 0.250 0.569
Te9 0.677 0.250 0.072
Te10 0.714 0.750 0.330
Te11 0.914 0.250 0.861
Te12 0.979 0.750 0.627


# Na2FeHgCl6 (PBE, relaxed)
# E_form (uncorrected)   -1.074 eV/atom
# Space group   R3, No. 146
# Calculated volume   243.8 Å³/cell
data_Na2FeHgCl6
_cell_length_a 7.179
_cell_length_b 7.179
_cell_length_c 7.179
_cell_angle_alpha 57.06
_cell_angle_beta 57.06
_cell_angle_gamma 57.06
_symmetry_space_group_name_H-M 'P 1'
_symmetry_Int_Tables_number 1
loop_
_symmetry_equiv_pos_as_xyz
'x,y,z'
loop_
_atom_site_label
_atom_site_fract_x
_atom_site_fract_y
_atom_site_fract_z
Na1 0.000 0.000 0.000
Na2 0.491 0.491 0.491
Fe1 0.794 0.794 0.794
Hg1 0.287 0.287 0.287
Cl1 0.042 0.444 0.683
Cl2 0.156 0.903 0.585
Cl3 0.444 0.683 0.042
Cl4 0.585 0.156 0.903
Cl5 0.683 0.042 0.444
Cl6 0.903 0.585 0.156


# HoTm5Mg4 (PBE, relaxed)
# Space group   P4/mmm, No. 123
# Formation enthalpy at 0 K   -35 meV per atom
# Calculated volume   274.8 Å³/cell
data_HoTm5Mg4
_cell_length_a 3.585
_cell_length_b 3.585
_cell_length_c 21.385
_cell_angle_alpha 90.00
_cell_angle_beta 90.00
_cell_angle_gamma 90.00
_symmetry_space_group_name_H-M 'P 1'
_symmetry_Int_Tables_number 1
loop_
_symmetry_equiv_pos_as_xyz
'x,y,z'
loop_
_atom_site_label
_atom_site_fract_x
_atom_site_fract_y
_atom_site_fract_z
Ho1 0.000 0.000 0.000
Tm1 0.500 0.500 0.113
Tm2 0.500 0.500 0.311
Tm3 0.500 0.500 0.500
Tm4 0.500 0.500 0.689
Tm5 0.500 0.500 0.887
Mg1 0.000 0.000 0.213
Mg2 0.000 0.000 0.405
Mg3 0.000 0.000 0.595
Mg4 0.000 0.000 0.787


# Li3CaC (PBE, relaxed)
# Space group   Pm-3m, No. 221
# Formation enthalpy at 0 K   365 meV per atom
# Excess energy over the best structure of this formula in the dataset   0 kJ/mol of formula units
# Calculated volume   78.2 Å³/cell
data_Li3CaC
_cell_length_a 4.276
_cell_length_b 4.276
_cell_length_c 4.276
_cell_angle_alpha 90.00
_cell_angle_beta 90.00
_cell_angle_gamma 90.00
_symmetry_space_group_name_H-M 'P 1'
_symmetry_Int_Tables_number 1
loop_
_symmetry_equiv_pos_as_xyz
'x,y,z'
loop_
_atom_site_label
_atom_site_fract_x
_atom_site_fract_y
_atom_site_fract_z
Li1 0.000 0.000 0.500
Li2 0.000 0.500 0.000
Li3 0.500 0.000 0.000
Ca1 0.500 0.500 0.500
C1 0.000 0.000 0.000


# Y3MnAu (PBE, relaxed)
# Space group   Pm-3m, No. 221
# Formation enthalpy at 0 K   110 meV per atom
# Excess energy over the best structure of this formula in the dataset   0 kJ/mol of formula units
# Calculated volume   134.5 Å³/cell
data_Y3MnAu
_cell_length_a 5.123
_cell_length_b 5.123
_cell_length_c 5.123
_cell_angle_alpha 90.00
_cell_angle_beta 90.00
_cell_angle_gamma 90.00
_symmetry_space_group_name_H-M 'P 1'
_symmetry_Int_Tables_number 1
loop_
_symmetry_equiv_pos_as_xyz
'x,y,z'
loop_
_atom_site_label
_atom_site_fract_x
_atom_site_fract_y
_atom_site_fract_z
Y1 0.000 0.000 0.500
Y2 0.000 0.500 0.000
Y3 0.500 0.000 0.000
Mn1 0.000 0.000 0.000
Au1 0.500 0.500 0.500


# InHRu3 (PBE, relaxed)
# Space group   Pm-3m, No. 221
# Excess energy over the best structure of this formula in the dataset   1156 kJ/mol of formula units
# Calculated volume   122.4 Å³/cell
data_InHRu3
_cell_length_a 4.965
_cell_length_b 4.965
_cell_length_c 4.965
_cell_angle_alpha 90.00
_cell_angle_beta 90.00
_cell_angle_gamma 90.00
_symmetry_space_group_name_H-M 'P 1'
_symmetry_Int_Tables_number 1
loop_
_symmetry_equiv_pos_as_xyz
'x,y,z'
loop_
_atom_site_label
_atom_site_fract_x
_atom_site_fract_y
_atom_site_fract_z
In1 0.000 0.000 0.000
H1 0.500 0.500 0.500
Ru1 0.000 0.000 0.500
Ru2 0.000 0.500 0.000
Ru3 0.500 0.000 0.000


# AlAgSn2 (PBE, relaxed)
# Space group   P4/mmm, No. 123
# Formation enthalpy at 0 K   140 meV per atom
# Calculated volume   90.7 Å³/cell
data_AlAgSn2
_cell_length_a 4.673
_cell_length_b 4.673
_cell_length_c 4.153
_cell_angle_alpha 90.00
_cell_angle_beta 90.00
_cell_angle_gamma 90.00
_symmetry_space_group_name_H-M 'P 1'
_symmetry_Int_Tables_number 1
loop_
_symmetry_equiv_pos_as_xyz
'x,y,z'
loop_
_atom_site_label
_atom_site_fract_x
_atom_site_fract_y
_atom_site_fract_z
Al1 0.000 0.000 0.000
Ag1 0.500 0.500 0.000
Sn1 0.000 0.500 0.500
Sn2 0.500 0.000 0.500